Record 1
{"formula": "Sm2ErTl", "functional": "PBE", "state": "relaxed", "e_form_mev_per_atom": -147, "spacegroup": "P4/mmm (123)", "rho_g_cm3": 9.01, "lattice_angstrom": [[3.635, 0.000, 0.000], [0.000, 3.635, 0.000], [0.000, 0.000, 9.375]], "species": ["Sm", "Sm", "Tl", "Er"], "fractional_positions": [[0.000, 0.000, 0.768], [0.000, 0.000, 0.232], [0.500, 0.500, 0.000], [0.500, 0.500, 0.500]]}



Record 2
{"formula": "Sm4Er3Tl2", "functional": "PBE", "state": "relaxed", "e_form_mev_per_atom": -86, "spacegroup": "C2/c (15)", "rho_g_cm3": 8.86, "lattice_angstrom": [[-3.493, -5.217, 1.751], [1.381, -4.375, -8.149], [7.261, -4.183, 4.152]], "species": ["Er", "Er", "Er", "Er", "Er", "Er", "Tl", "Tl", "Tl", "Tl", "Sm", "Sm", "Sm", "Sm", "Sm", "Sm", "Sm", "Sm"], "fractional_positions": [[0.895, 0.049, 0.174], [0.605, 0.826, 0.951], [0.395, 0.174, 0.049], [0.105, 0.951, 0.826], [0.250, 0.533, 0.467], [0.750, 0.467, 0.533], [0.546, 0.227, 0.364], [0.046, 0.364, 0.227], [0.954, 0.636, 0.773], [0.454, 0.773, 0.636], [0.588, 0.106, 0.684], [0.412, 0.894, 0.316], [0.912, 0.316, 0.894], [0.907, 0.822, 0.472], [0.093, 0.178, 0.528], [0.407, 0.472, 0.822], [0.088, 0.684, 0.106], [0.593, 0.528, 0.178]]}



Record 3
{"formula": "Sm3Er2Tl7", "functional": "PBE", "state": "relaxed", "e_form_mev_per_atom": -104, "spacegroup": "Cmmm (65)", "rho_g_cm3": 9.99, "lattice_angstrom": [[-3.790, -4.014, 0.105], [0.236, -0.361, -5.301], [8.991, -8.393, 3.640]], "species": ["Tl", "Tl", "Tl", "Tl", "Tl", "Tl", "Tl", "Sm", "Sm", "Sm", "Er", "Er"], "fractional_positions": [[0.000, 0.278, 0.555], [0.000, 0.000, 0.000], [0.500, 0.917, 0.834], [0.000, 0.722, 0.445], [0.000, 0.423, 0.846], [0.000, 0.577, 0.154], [0.500, 0.083, 0.166], [0.500, 0.658, 0.316], [0.500, 0.500, 0.000], [0.500, 0.342, 0.684], [0.000, 0.150, 0.299], [0.000, 0.850, 0.701]]}



Record 4
{"formula": "Sm3ErTl4", "functional": "PBE", "state": "relaxed", "e_form_mev_per_atom": -368, "spacegroup": "P4/mmm (123)", "rho_g_cm3": 10.54, "lattice_angstrom": [[3.827, 0.000, 0.000], [0.000, 3.827, 0.000], [0.000, 0.000, 15.437]], "species": ["Sm", "Sm", "Sm", "Tl", "Tl", "Tl", "Tl", "Er"], "fractional_positions": [[0.500, 0.500, 0.245], [0.500, 0.500, 0.500], [0.500, 0.500, 0.755], [0.000, 0.000, 0.372], [0.000, 0.000, 0.118], [0.000, 0.000, 0.882], [0.000, 0.000, 0.628], [0.500, 0.500, 0.000]]}